GGA-PBEsol Sc2TlHg, relaxed; final energy = -4.5495 eV per atom
1.0
4.936 0.000 0.000
0.000 4.936 0.000
0.000 0.000 3.525
Sc Tl Hg
2 1 1
direct
0.000 0.500 0.000
0.500 0.000 0.000
0.000 0.000 0.500
0.500 0.500 0.500